Entry 1:
Entry from Alexandria via LeMat-Bulk: crystalline TcSbAu2 at its relaxed geometry (PBE).

## Properties
The calculation puts the formation energy without anion corrections at 0.313 eV per atom. The total energy is -4.948 eV per atom.

Lattice parameters (Å, degrees): 4.0339 4.0339 4.4536 90.00 90.00 90.00
With the nearest neighbours (Å) after each atom.
Sites, in units of the cell vectors:
Au1 0.0000 0.0000 0.0000  4 Au 2.85, 4 Tc 3.00, 4 Sb 3.00
Au2 0.5000 0.5000 0.0000  4 Au 2.85, 4 Sb 3.00, 4 Tc 3.00
Sb1 0.5000 0.0000 0.5000  4 Tc 2.85, 8 Au 3.00
Tc1 0.0000 0.5000 0.5000  4 Sb 2.85, 8 Au 3.00

Entry 2:
Entry from Alexandria via LeMat-Bulk: crystalline TcSb2TeAu at its relaxed geometry (PBE).

## Properties
The calculation puts the formation energy without anion corrections at 1.239 eV per atom. The total energy is -3.767 eV per atom. For the energy above the most stable polymorph in this dataset, the calculation gives 3.33 eV/f.u.

Lattice parameters (Å, degrees): 5.3344 5.3344 5.4533 90.00 90.00 90.00
With the nearest neighbours (Å) after each atom.
Sites, in units of the cell vectors:
Sb1 0.0000 0.5000 0.0000  2 Au 2.67
Sb2 0.5000 0.0000 0.0000  2 Au 2.67
Te1 0.0000 0.0000 0.5000  2 Au 2.73
Au1 0.0000 0.0000 0.0000  4 Sb 2.67, 2 Te 2.73
Tc1 0.5000 0.5000 0.5000  4 Te 3.77, 8 Sb 3.81

Entry 3:
Entry from Alexandria via LeMat-Bulk: crystalline TcSb2TeAu at its relaxed geometry (PBE).

## Properties
The calculation puts the formation energy without anion corrections at 0.573 eV per atom. The total energy is -4.433 eV per atom. For the energy above the most stable polymorph in this dataset, the calculation gives 0.00 eV/f.u.

Lattice parameters (Å, degrees): 5.1480 5.1480 5.1744 90.00 90.00 90.00
With the nearest neighbours (Å) after each atom.
Sites, in units of the cell vectors:
Sb1 0.0000 0.5000 0.0000  2 Tc 2.57
Sb2 0.5000 0.0000 0.0000  2 Tc 2.57
Te1 0.0000 0.0000 0.5000  2 Tc 2.59
Au1 0.5000 0.5000 0.5000  4 Te 3.64, 8 Sb 3.65
Tc1 0.0000 0.0000 0.0000  4 Sb 2.57, 2 Te 2.59

Entry 4:
Entry from Alexandria via LeMat-Bulk: crystalline TiTc2SbAu at its relaxed geometry (PBE).

## Properties
The calculation puts the formation energy without anion corrections at 1.163 eV per atom. The total energy is -6.042 eV per atom. For the energy above the most stable polymorph in this dataset, the calculation gives 0.00 eV/f.u.

Lattice parameters (Å, degrees): 4.5626 4.5626 5.1136 90.00 90.00 90.00
With the nearest neighbours (Å) after each atom.
Sites, in units of the cell vectors:
Sb1 0.0000 0.0000 0.5000  2 Ti 2.56
Au1 0.5000 0.5000 0.5000  4 Sb 3.23, 8 Tc 3.43
Tc1 0.0000 0.5000 0.0000  2 Ti 2.28
Tc2 0.5000 0.0000 0.0000  2 Ti 2.28
Ti1 0.0000 0.0000 0.0000  4 Tc 2.28